{
  "formula": "ScCo3W",
  "functional": "PBE-GGA",
  "state": "optimized geometry",
  "dos_ef_per_ev_fu": 6.76,
  "sg": "Pm-3m (221)",
  "formation_enthalpy_0k_kj_per_mol_fu": 432,
  "m_tot_mub_per_cell": 0.000,
  "rho_g_cm3": 7.7,
  "polymorph_energy_mev_per_atom": 0,
  "lattice": [[4.438, 0.000, 0.000], [0.000, 4.438, 0.000], [0.000, 0.000, 4.438]],
  "species": ["Sc", "Co", "Co", "Co", "W"],
  "frac_coords": [[0.500, 0.500, 0.500], [0.000, 0.500, 0.000], [0.000, 0.000, 0.500], [0.500, 0.000, 0.000], [0.000, 0.000, 0.000]]
}



{
  "formula": "Sc2CoW",
  "functional": "PBE-GGA",
  "state": "optimized geometry",
  "dos_ef_per_ev_fu": 7.03,
  "sg": "Fm-3m (225)",
  "formation_enthalpy_0k_kj_per_mol_fu": 111,
  "m_tot_mub_per_cell": 2.066,
  "rho_g_cm3": 8.0,
  "polymorph_energy_mev_per_atom": 264,
  "lattice": [[2.627, -3.773, 0.173], [-0.682, -3.417, -3.003], [3.092, -0.804, -3.310]],
  "species": ["Sc", "Sc", "Co", "W"],
  "frac_coords": [[0.250, 0.250, 0.250], [0.750, 0.750, 0.750], [0.000, 0.000, 0.000], [0.500, 0.500, 0.500]]
}



{
  "formula": "ScCoW2",
  "functional": "PBE-GGA",
  "state": "optimized geometry",
  "dos_ef_per_ev_fu": 3.93,
  "sg": "I-42d (122)",
  "formation_enthalpy_0k_kj_per_mol_fu": 222,
  "m_tot_mub_per_cell": 0.000,
  "rho_g_cm3": 11.5,
  "polymorph_energy_mev_per_atom": 481,
  "lattice": [[-3.137, -4.978, 4.420], [-1.154, -4.406, -5.781], [0.090, -5.769, -0.306]],
  "species": ["Sc", "Sc", "Co", "Co", "W", "W", "W", "W"],
  "frac_coords": [[0.500, 0.500, 0.000], [0.250, 0.750, 0.500], [0.000, 0.000, 0.000], [0.750, 0.250, 0.500], [0.676, 0.125, 0.250], [0.074, 0.625, 0.250], [0.375, 0.324, 0.750], [0.875, 0.926, 0.750]]
}



{
  "formula": "ScCoW2",
  "functional": "PBE-GGA",
  "state": "optimized geometry",
  "dos_ef_per_ev_fu": 4.46,
  "sg": "Imm2 (44)",
  "formation_enthalpy_0k_kj_per_mol_fu": 98,
  "m_tot_mub_per_cell": 0.975,
  "rho_g_cm3": 12.4,
  "polymorph_energy_mev_per_atom": 159,
  "lattice": [[5.118, 0.040, 0.001], [1.990, 4.715, -0.001], [-3.009, -3.193, 2.636]],
  "species": ["Co", "Sc", "W", "W"],
  "frac_coords": [[0.511, 0.511, 0.000], [0.259, 0.759, 0.500], [0.985, 0.985, 0.000], [0.745, 0.245, 0.500]]
}



{
  "formula": "Sc2CoW",
  "functional": "PBE-GGA",
  "state": "optimized geometry",
  "dos_ef_per_ev_fu": 6.18,
  "sg": "I-4m2 (119)",
  "formation_enthalpy_0k_kj_per_mol_fu": 120,
  "m_tot_mub_per_cell": 0.390,
  "rho_g_cm3": 8.1,
  "polymorph_energy_mev_per_atom": 286,
  "lattice": [[5.336, 0.011, 0.000], [2.532, 4.697, 0.000], [-3.934, -2.354, 2.731]],
  "species": ["Co", "Sc", "Sc", "W"],
  "frac_coords": [[0.750, 0.250, 0.500], [0.000, 0.000, 0.000], [0.250, 0.750, 0.500], [0.500, 0.500, 0.000]]
}



{
  "formula": "ScCo4W",
  "functional": "PBE-GGA",
  "state": "optimized geometry",
  "dos_ef_per_ev_fu": 9.52,
  "sg": "F-43m (216)",
  "formation_enthalpy_0k_kj_per_mol_fu": -38,
  "m_tot_mub_per_cell": 1.803,
  "rho_g_cm3": 10.2,
  "lattice": [[-1.737, -4.424, -0.094], [-0.552, -2.423, 4.053], [-4.364, -0.876, 1.670]],
  "species": ["Sc", "Co", "Co", "Co", "Co", "W"],
  "frac_coords": [[0.750, 0.750, 0.750], [0.874, 0.375, 0.375], [0.375, 0.375, 0.874], [0.375, 0.874, 0.375], [0.375, 0.375, 0.375], [0.000, 0.000, 0.000]]
}



Copy entry 1 word for word.
{
  "formula": "ScCo3W",
  "functional": "PBE-GGA",
  "state": "optimized geometry",
  "dos_ef_per_ev_fu": 6.76,
  "sg": "Pm-3m (221)",
  "formation_enthalpy_0k_kj_per_mol_fu": 432,
  "m_tot_mub_per_cell": 0.000,
  "rho_g_cm3": 7.7,
  "polymorph_energy_mev_per_atom": 0,
  "lattice": [[4.438, 0.000, 0.000], [0.000, 4.438, 0.000], [0.000, 0.000, 4.438]],
  "species": ["Sc", "Co", "Co", "Co", "W"],
  "frac_coords": [[0.500, 0.500, 0.500], [0.000, 0.500, 0.000], [0.000, 0.000, 0.500], [0.500, 0.000, 0.000], [0.000, 0.000, 0.000]]
}